No. 1
DFT (PBE) results for crystalline ScTeO3F at its relaxed geometry.

Cell and atoms, written as POSCAR:
```
ScTeO3F
1.0
5.847 0.000 0.000
0.000 22.313 0.000
0.000 0.000 5.604
Sc Te O F
8 8 24 8
direct
0.068 0.250 0.250
0.250 0.000 0.174
0.250 0.500 0.326
0.432 0.750 0.250
0.568 0.250 0.750
0.750 0.000 0.826
0.750 0.500 0.674
0.932 0.750 0.750
0.209 0.607 0.810
0.209 0.893 0.690
0.291 0.107 0.690
0.291 0.393 0.810
0.709 0.607 0.190
0.709 0.893 0.310
0.791 0.107 0.310
0.791 0.393 0.190
0.043 0.161 0.356
0.043 0.339 0.144
0.057 0.550 0.597
0.057 0.950 0.903
0.131 0.561 0.080
0.131 0.939 0.420
0.369 0.061 0.420
0.369 0.439 0.080
0.443 0.050 0.903
0.443 0.450 0.597
0.457 0.661 0.144
0.457 0.839 0.356
0.543 0.161 0.644
0.543 0.339 0.856
0.557 0.550 0.403
0.557 0.950 0.097
0.631 0.561 0.920
0.631 0.939 0.580
0.869 0.061 0.580
0.869 0.439 0.920
0.943 0.050 0.097
0.943 0.450 0.403
0.957 0.661 0.856
0.957 0.839 0.644
0.190 0.731 0.502
0.190 0.769 0.998
0.310 0.231 0.998
0.310 0.269 0.502
0.690 0.731 0.498
0.690 0.769 0.002
0.810 0.231 0.002
0.810 0.269 0.498
```

Summary:
The density of states at the Fermi level comes out at 0.0000 states/eV per atom. The formation energy (no corrections) is -1400.7 kJ/mol of formula units. The symmetry is No. 52.

No. 2
DFT (PBE) results for crystalline RbTlZnGeSe at its relaxed geometry.

Cell and atoms, written as POSCAR:
```
RbTlZnGeSe
1.0
5.657 0.000 0.000
0.000 3.252 0.000
-2.218 0.000 9.013
Rb Tl Zn Ge Se
1 1 1 1 1
direct
0.000 0.000 0.000
0.393 0.500 0.581
0.747 0.000 0.487
0.971 0.500 0.353
0.456 0.500 0.887
```

Summary:
The density of states at the Fermi level comes out at 0.2245 states/eV per atom. The formation energy (no corrections) is -21.0 kJ/mol of formula units. The calculation puts the polymorph energy (0 for the lowest one) at 279 meV/atom. The symmetry is No. 6.

No. 3
DFT (PBE) results for crystalline ZnGePt2C at its relaxed geometry.

Cell and atoms, written as POSCAR:
```
ZnGePt2C
1.0
4.826 0.000 0.000
0.000 4.826 0.000
0.000 0.000 3.604
Zn Ge Pt C
1 1 2 1
direct
0.000 0.000 0.000
0.500 0.500 0.500
0.000 0.500 0.000
0.500 0.000 0.000
0.000 0.000 0.500
```

Summary:
The density of states at the Fermi level comes out at 0.4063 states/eV per atom. The calculation puts the energy of formation at 5.9 eV/f.u. The symmetry is No. 123.